# SrMgZr2, relaxed, DFT PBEsol
# uncorrected energy = -4.962 eV per atom
data_SrMgZr2
_cell_length_a 4.577
_cell_length_b 4.577
_cell_length_c 4.890
_cell_angle_alpha 90.00
_cell_angle_beta 90.00
_cell_angle_gamma 90.00
_symmetry_space_group_name_H-M 'P 4/m m m'
_symmetry_Int_Tables_number 123
_symmetry_space_group_name_Hall '-P 4 2'
loop_
_atom_site_label
_atom_site_type_symbol
_atom_site_fract_x
_atom_site_fract_y
_atom_site_fract_z
Sr1 Sr 0.000 0.000 0.000
Mg1 Mg 0.500 0.500 0.000
Zr1 Zr 0.000 0.500 0.500